(1)
Here is crystalline CuTc2P at its relaxed geometry from Alexandria via LeMat-Bulk. Energies are from PBEsol.

Properties
- DFT formation energy (eV per atom) = 0.294
- density of states at the Fermi level (states/eV/f.u.) = 4.06
- calculated volume (Å³/atom) = 13.36

a = 2.669 Å, b = 2.669 Å, c = 8.226 Å
α = 90.00°, β = 90.00°, γ = 114.16°
Atoms (fractional coordinates):
Cu  0.000  0.000  0.486
P  0.500  0.500  0.247
Tc  0.000  0.000  0.016
Tc  0.500  0.500  0.752

=====

(2)
Here is crystalline Cu2TcP at its relaxed geometry from Alexandria via LeMat-Bulk. Energies are from PBEsol.

Properties
- DFT formation energy (eV per atom) = 0.068
- density of states at the Fermi level (states/eV/f.u.) = 3.67
- calculated volume (Å³/atom) = 12.08

a = 3.490 Å, b = 3.490 Å, c = 3.966 Å
α = 90.00°, β = 90.00°, γ = 90.00°
Atoms (fractional coordinates):
Cu  0.000  0.500  0.000
Cu  0.500  0.000  0.000
P  0.500  0.500  0.500
Tc  0.000  0.000  0.500

=====

(3)
Here is crystalline CuTeP2 at its relaxed geometry from Alexandria via LeMat-Bulk. Energies are from PBEsol.

Properties
- E_form (uncorrected) (eV/atom) = 0.06
- density of states at the Fermi level (states/eV/f.u.) = 1.33
- calculated volume (Å³/atom) = 18.51

a = 3.309 Å, b = 4.418 Å, c = 5.896 Å
α = 115.33°, β = 106.29°, γ = 90.00°
Atoms (fractional coordinates):
Cu  0.500  0.500  0.000
P  0.730  0.815  0.461
P  0.270  0.185  0.539
Te  0.000  0.000  0.000

=====

| no. | uncorrected energy (eV/atom) |
| --- | --- |
| 1 | -7.8703 |
| 2 | -6.3633 |
| 3 | -4.8047 |